The following is a DFT calculation (GGA+U) of crystalline CrBrF2 at its relaxed geometry.

Output
DFT total energy   -4.756 eV per atom
N(E_F)   3.982 states/eV/f.u.

a = 6.603 Å, b = 6.603 Å, c = 6.603 Å
α = 127.27°, β = 127.27°, γ = 77.81°
Sites, in units of the cell vectors:
Cr (0.375, 0.625, 0.750)
Cr (0.625, 0.375, 0.250)
Br (0.125, 0.875, 0.250)
Br (0.875, 0.125, 0.750)
F (0.000, 0.500, 0.500)
F (0.500, 0.000, 0.000)
F (0.500, 0.500, 0.000)
F (0.500, 0.500, 0.500)